Material: SrCa3Mn4O12
Method: DFT, PBE with a Hubbard U
State: optimized geometry

Calculated values
E above lowest polymorph = 0.057 eV per atom
Uncorrected energy = -6.85 eV per atom
Crystal system = tetragonal

POSCAR file:
```
SrCa3Mn4O12
1.0
7.650 0.000 0.000
0.000 7.650 0.000
0.000 0.000 3.826
Sr Ca Mn O
1 3 4 12
Direct
0.000 0.000 0.000
0.000 0.500 0.000
0.500 0.000 0.000
0.500 0.500 0.000
0.251 0.251 0.500
0.251 0.749 0.500
0.749 0.251 0.500
0.749 0.749 0.500
0.000 0.257 0.500
0.000 0.743 0.500
0.252 0.500 0.500
0.254 0.254 0.000
0.254 0.746 0.000
0.257 0.000 0.500
0.500 0.252 0.500
0.500 0.748 0.500
0.743 0.000 0.500
0.746 0.254 0.000
0.746 0.746 0.000
0.748 0.500 0.500
```